RbCu3PdSe4 | PBE | optimized geometry

a = 6.1929 Å, b = 6.1929 Å, c = 6.1929 Å
α = 90.00°, β = 90.00°, γ = 90.00°
Fractional coordinates of all 9 atoms:
Cu (0.0000, 0.5000, 0.5000)
Cu (0.5000, 0.5000, 0.0000)
Cu (0.5000, 0.0000, 0.5000)
Se (0.7224, 0.2776, 0.7224)
Se (0.7224, 0.7224, 0.2776)
Se (0.2776, 0.7224, 0.7224)
Se (0.2776, 0.2776, 0.2776)
Rb (0.0000, 0.0000, 0.0000)
Pd (0.5000, 0.5000, 0.5000)

Values from the calculation:
Uncorrected energy (eV/cell): -32.1
Crystal system: cubic
Calculated density (g/cm³): 4.88
V (A^3/atom): 26.4